1.
The following is a GGA-PBE calculation of an optimized crystal structure of LiPmAlAu, from the Alexandria database.

The structure belongs to space group F-43m (No. 216); the cell edges are 6.822, 6.822 and 6.822 Å and the angles 90.00°, 90.00° and 90.00°. The distinct sites, in fractional coordinates, are Li at (0.000, 0.000, 0.000), Pm at (0.250, 0.250, 0.750), Al at (0.250, 0.250, 0.250) and Au at (0.000, 0.000, 0.500).

Its total magnetic moment is 0.000 Bohr magnetons per cell. As for the formation energy: -54 kJ/mol of atoms. The theoretical density comes out at 7.86 g cm⁻³.


2.
The following is a GGA-PBE calculation of an optimized crystal structure of Li2PmAl2Au2, from the Alexandria database.

The structure belongs to space group C2/m (No. 12); the cell edges are 7.807, 4.492 and 7.971 Å and the angles 90.00°, 108.61° and 90.00°. The distinct sites, in fractional coordinates, are Li at (0.141, 0.000, 0.427), Pm at (0.000, 0.000, 0.000), Al at (0.068, 0.500, 0.701) and Au at (0.244, 0.500, 0.235).

Its total magnetic moment is 0.000 Bohr magnetons per cell. As for the formation energy: -56 kJ/mol of atoms. The theoretical density comes out at 7.61 g cm⁻³.


3.
The following is a GGA-PBE calculation of an optimized crystal structure of LiPm2Al3Au4, from the Alexandria database.

The structure belongs to space group P-4m2 (No. 115); the cell edges are 4.449, 4.449 and 10.308 Å and the angles 90.00°, 90.00° and 90.00°. The distinct sites, in fractional coordinates, are Li at (0.000, 0.000, 0.000), Pm at (0.000, 0.500, 0.745), Al at (0.000, 0.500, 0.368), Al at (0.500, 0.500, 0.000), Au at (0.000, 0.000, 0.500), Au at (0.000, 0.500, 0.126) and Au at (0.500, 0.500, 0.500).

Its total magnetic moment is 0.000 Bohr magnetons per cell. As for the formation energy: -66 kJ/mol of atoms. The theoretical density comes out at 9.49 g cm⁻³.